Here is a relaxed Na4In3PtO8 crystal from Alexandria. Energies are from PBE.

Structure (CIF):
```
data_Na4In3PtO8
_symmetry_space_group_name_H-M 'C 1 2/m 1'
_symmetry_Int_Tables_number 12
_cell_length_a 11.538
_cell_length_b 6.476
_cell_length_c 6.619
_cell_angle_alpha 90.00
_cell_angle_beta 123.89
_cell_angle_gamma 90.00
loop_
_symmetry_equiv_pos_as_xyz
'x,y,z'
'-x,-y,-z'
'-x,y,-z'
'x,-y,z'
'x+1/2,y+1/2,z'
'-x+1/2,-y+1/2,-z'
'-x+1/2,y+1/2,-z'
'x+1/2,-y+1/2,z'
loop_
_atom_site_label
_atom_site_type_symbol
_atom_site_fract_x
_atom_site_fract_y
_atom_site_fract_z
_atom_site_occupancy
Na1 Na 0.000 0.000 0.000 1
Na2 Na 0.000 0.500 0.000 1
Na3 Na 0.250 0.250 0.000 1
In1 In 0.000 0.000 0.500 1
In2 In 0.250 0.250 0.500 1
Pt1 Pt 0.000 0.500 0.500 1
O1 O 0.013 0.263 0.297 1
O2 O 0.235 0.000 0.716 1
O3 O 0.242 0.000 0.270 1
```

## Properties
Its uncorrected formation energy is -1.417 eV per atom. The calculation puts the total moment at 1.005 μB/f.u.